1.
20
Lattice="5.194 0.000 0.000 0.000 5.317 0.000 -5.187 0.000 7.397" Properties=species:S:1:pos:R:3 comment="LaMgFeNiO6, relaxed, DFT GGA-PBEsol" energy_ev_per_atom=-7.337 pbc="T T T"
La 0.000 1.179 0.000
La -2.593 4.139 3.699
Mg 0.173 1.624 3.687
Mg -2.420 3.694 7.386
Fe 2.637 1.338 1.858
Fe 0.043 3.979 5.556
Ni -2.555 1.318 5.540
Ni 0.039 4.000 1.841
O -1.931 1.257 3.667
O -4.524 4.060 7.366
O 2.283 1.546 0.031
O -0.310 3.771 3.729
O 1.075 0.263 2.242
O -1.519 5.054 5.940
O -1.186 2.623 5.932
O 1.408 2.695 2.233
O 1.031 0.219 5.143
O 3.624 5.098 1.444
O 3.980 2.601 1.503
O 1.386 2.716 5.201

=====

2.
20
Lattice="5.338 0.000 0.000 0.000 5.564 0.000 -5.277 0.000 7.681" Properties=species:S:1:pos:R:3 comment="LaMgFeWO6, relaxed, DFT GGA-PBEsol" energy_ev_per_atom=-8.427 pbc="T T T"
La 0.000 1.106 0.000
La -2.639 4.457 3.840
Mg -0.206 1.728 3.811
Mg -2.845 3.836 7.651
Fe -2.688 1.374 5.759
Fe -0.049 4.190 1.919
W 2.609 1.433 1.932
W -0.029 4.131 5.772
O -4.184 2.680 6.246
O -1.545 2.884 2.406
O -1.075 0.358 2.353
O -3.714 5.206 6.193
O 1.162 2.663 1.477
O -1.476 2.900 5.318
O -0.914 0.263 5.265
O 1.724 5.300 1.424
O 3.082 1.690 0.050
O 0.443 3.874 3.890
O 1.837 1.258 3.738
O -0.802 4.305 7.578

=====

3.
5
Lattice="5.321 0.000 0.000 0.000 5.321 0.000 0.000 0.000 4.772" Properties=species:S:1:pos:R:3 comment="LaMg2FeSb, relaxed, DFT GGA-PBEsol" energy_ev_per_atom=-3.969 pbc="T T T"
La 0.000 0.000 0.000
Mg 0.000 2.660 2.386
Mg 2.660 0.000 2.386
Fe 2.660 2.660 0.000
Sb 2.660 2.660 2.386

=====

4.
8
Lattice="4.283 0.000 0.000 0.000 3.062 0.000 0.000 0.000 9.786" Properties=species:S:1:pos:R:3 comment="LaFe2Mo, relaxed, DFT GGA-PBEsol" energy_ev_per_atom=-8.308 pbc="T T T"
La 0.000 0.000 0.000
La 0.000 1.531 4.893
Fe 0.000 0.000 7.367
Fe 0.000 1.531 2.474
Fe 2.141 0.000 5.903
Fe 2.141 1.531 1.010
Mo 2.141 0.000 2.741
Mo 2.141 1.531 7.633

=====

5.
20
Lattice="5.387 0.000 0.000 0.000 5.697 0.000 -5.342 0.000 7.643" Properties=species:S:1:pos:R:3 comment="LaZnFeMoO6, relaxed, DFT GGA-PBEsol" energy_ev_per_atom=-7.931 pbc="T T T"
La 0.000 1.083 0.000
La -2.671 4.614 3.821
Zn 0.025 0.872 3.837
Zn 2.696 4.825 0.016
Fe -2.742 1.578 5.726
Fe -0.071 4.119 1.905
Mo 2.600 1.601 1.914
Mo -0.071 4.096 5.736
O -1.169 0.404 2.350
O -3.840 5.293 6.172
O 1.046 2.610 1.567
O -1.625 3.087 5.388
O -1.075 0.252 5.360
O 1.596 5.446 1.539
O 3.013 1.399 0.028
O 0.342 4.298 3.850
O 1.926 1.275 3.788
O -0.745 4.422 7.610
O 1.017 2.615 6.035
O 3.688 3.082 2.213

=====

6.
5
Lattice="4.754 0.000 0.000 0.000 4.754 0.000 0.000 0.000 4.213" Properties=species:S:1:pos:R:3 comment="LaScFe2N, relaxed, DFT GGA-PBEsol" energy_ev_per_atom=-6.395 pbc="T T T"
La 0.000 0.000 0.000
Sc 2.377 2.377 2.107
Fe 0.000 2.377 0.000
Fe 2.377 0.000 0.000
N 0.000 0.000 2.107

=====

7.
5
Lattice="4.133 0.000 0.000 0.000 4.133 0.000 0.000 0.000 4.887" Properties=species:S:1:pos:R:3 comment="LaFeTeN2, relaxed, DFT GGA-PBEsol" energy_ev_per_atom=-6.680 pbc="T T T"
La 0.000 0.000 0.000
Fe 2.067 2.067 2.444
Te 2.067 2.067 0.000
N 0.000 2.067 2.444
N 2.067 0.000 2.444

=====

8.
8
Lattice="3.787 0.000 0.000 0.000 3.787 0.000 0.000 0.000 8.643" Properties=species:S:1:pos:R:3 comment="LaFe2Ni, relaxed, DFT GGA-PBEsol" energy_ev_per_atom=-6.976 pbc="T T T"
La 0.000 0.000 0.000
La 1.894 1.894 4.321
Fe 0.000 1.894 2.161
Fe 0.000 1.894 6.482
Fe 1.894 0.000 2.161
Fe 1.894 0.000 6.482
Ni 0.000 0.000 4.321
Ni 1.894 1.894 0.000

=====

9.
4
Lattice="3.798 0.000 0.000 0.000 3.798 0.000 0.000 0.000 4.202" Properties=species:S:1:pos:R:3 comment="LaFe2Ni, relaxed, DFT GGA-PBEsol" energy_ev_per_atom=-6.975 pbc="T T T"
La 0.000 0.000 0.000
Fe 0.000 1.899 2.101
Fe 1.899 0.000 2.101
Ni 1.899 1.899 0.000

=====

10.
4
Lattice="3.002 0.000 0.000 0.000 3.002 0.000 0.000 0.000 6.802" Properties=species:S:1:pos:R:3 comment="LaFe2Ni, relaxed, DFT GGA-PBEsol" energy_ev_per_atom=-7.120 pbc="T T T"
La 0.000 0.000 0.000
Fe 0.000 0.000 3.410
Fe 1.501 1.501 4.615
Ni 1.501 1.501 2.151

=====

11.
8
Lattice="3.869 0.000 0.000 0.000 3.885 0.000 0.000 0.000 8.021" Properties=species:S:1:pos:R:3 comment="LaFeNi2, relaxed, DFT GGA-PBEsol" energy_ev_per_atom=-6.436 pbc="T T T"
La 0.000 0.000 0.000
La 1.935 1.942 4.011
Fe 0.000 1.942 2.000
Fe 1.935 0.000 6.011
Ni 0.000 0.000 4.009
Ni 0.000 1.942 6.019
Ni 1.935 0.000 2.009
Ni 1.935 1.942 8.019

=====

12.
12
Lattice="4.003 0.000 0.000 -2.002 3.467 0.000 0.000 0.000 14.600" Properties=species:S:1:pos:R:3 comment="LaFe2Ni, relaxed, DFT GGA-PBEsol" energy_ev_per_atom=-7.311 pbc="T T T"
La 0.000 0.000 0.000
La 0.000 2.311 9.733
La 2.002 1.156 4.867
Fe 0.000 0.000 7.252
Fe 0.000 0.000 11.861
Fe 0.000 2.311 2.385
Fe 0.000 2.311 6.994
Fe 2.002 1.156 2.128
Fe 2.002 1.156 12.118
Ni 0.000 0.000 2.802
Ni 0.000 2.311 12.535
Ni 2.002 1.156 7.669

=====

13.
20
Lattice="5.434 0.000 0.000 0.000 5.383 0.000 -5.411 0.000 7.632" Properties=species:S:1:pos:R:3 comment="La2FeNiO6, relaxed, DFT GGA-PBEsol" energy_ev_per_atom=-8.080 pbc="T T T"
La -0.018 0.121 1.910
La -2.723 2.570 5.726
La 2.746 2.813 1.906
La 0.041 5.262 5.722
Fe -2.705 0.000 3.816
Fe 0.000 2.692 0.000
Ni 2.717 0.000 0.000
Ni 0.012 2.692 3.816
O -4.222 1.239 7.367
O -1.517 1.453 3.551
O -3.963 3.884 7.363
O -1.258 4.191 3.547
O -2.347 0.039 5.681
O 0.359 2.653 1.865
O -0.335 2.731 5.766
O 2.370 5.345 1.951
O 1.281 1.192 4.085
O 3.987 1.500 0.269
O 1.540 3.931 4.081
O 4.245 4.145 0.265